Cs2K2Rb4Hg | PBE-GGA | relaxed

Output
ΔH_f (0 K): -4 kJ/mol of atoms
ρ: 2.0 Mg/m³
E: -0.937 eV per atom

a = 9.8892 Å, b = 9.8892 Å, c = 8.5010 Å
α = 101.26°, β = 101.26°, γ = 64.31°
Last column: nearest neighbours and their distance in Å.
Atoms (fractional coordinates):
Cs 0.1539 0.1539 0.2800  8 Rb 4.86-5.05, 3 K 4.90-5.29
Cs 0.8461 0.8461 0.7200  8 Rb 4.86-5.05, 3 K 4.90-5.29
K 0.3703 0.3703 0.7780  1 Hg 3.56
K 0.6297 0.6297 0.2220  1 Hg 3.56
Rb 0.1353 0.6454 0.2403  1 Hg 3.69
Rb 0.3546 0.8647 0.7597  1 Hg 3.69
Rb 0.6454 0.1353 0.2403  1 Hg 3.69
Rb 0.8647 0.3546 0.7597  1 Hg 3.69
Hg 0.5000 0.5000 0.5000  2 K 3.56, 4 Rb 3.69